VASP calculation (GGA-PBEsol) on a relaxed structure of AlFeIN2.

Cell: 3.712 3.712 5.920 Å, 90.00 90.00 90.00°
Last column: magnetic moment on the atom in μB.
Fractional positions:
I  0.000  0.000  0.500  0.09
N  0.000  0.500  0.000  0.27
N  0.500  0.000  0.000  0.27
Fe  0.500  0.500  0.500  3.00
Al  0.000  0.000  0.000  -0.01

Results
For the formation energy without anion corrections, the calculation gives 22.43 kcal/mol of atoms.